Entry 1:
DFT (PBE) results for crystalline Cs4RbTl2 at its relaxed geometry.

abc: 8.1387 8.1387 11.4437
angles: 69.17 69.17 90.00
Fractional coordinates of all 7 atoms:
Cs 0.7641 0.7641 0.4717
Cs 0.2359 0.2359 0.5283
Cs 0.0000 0.5000 0.0000
Cs 0.5000 0.0000 0.0000
Tl 0.5734 0.5734 0.8532
Tl 0.4266 0.4266 0.1468
Rb 0.0000 0.0000 0.0000

Calculated values
**DFT total energy**: -1.154 eV per atom
**Space group**: I4/mmm, No. 139


Entry 2:
DFT (PBE) results for crystalline Ce2PmCd at its relaxed geometry.

abc: 5.1318 4.7105 4.7105
angles: 90.00 90.00 90.00
Last column: magnetic moment on the atom in μB.
Fractional coordinates of all 4 atoms:
Cd 0.5000 0.0000 0.0000  0.00
Ce 0.0000 0.0000 0.5000  0.77
Ce 0.0000 0.5000 0.0000  0.77
Pm 0.5000 0.5000 0.5000  0.09

Calculated values
**Space group**: P4/mmm, No. 123
**Relative energy among the computed polymorphs**: 0.0 meV per atom